(1)
DFT (GGA-PBE) results for an optimized crystal structure of Mn2Ir2N.

```
Mn2Ir2N
1.0
3.5076 0.0000 0.0000
0.0000 3.5076 0.0000
0.0000 0.0000 11.4025
Mn Ir N
4 4 2
Direct
0.0000 0.0000 0.0916
0.0000 0.0000 0.9084
0.5000 0.5000 0.4084
0.5000 0.5000 0.5916
0.0000 0.5000 0.2500
0.0000 0.5000 0.7500
0.5000 0.0000 0.2500
0.5000 0.0000 0.7500
0.0000 0.0000 0.5000
0.5000 0.5000 0.0000
```

The uncorrected formation energy is 657.0 kJ/mol of formula units. The density comes out at 12.03 g/cm3.

=====

(2)
DFT (GGA-PBE) results for an optimized crystal structure of Pr2TmSi3Pt4.

```
Pr2TmSi3Pt4
1.0
4.2973 0.0000 0.0000
0.0000 4.2973 0.0000
0.0000 0.0000 10.7215
Pr Tm Si Pt
2 1 3 4
Direct
0.0000 0.5000 0.2297
0.5000 0.0000 0.7703
0.0000 0.0000 0.5000
0.0000 0.5000 0.8809
0.5000 0.0000 0.1191
0.5000 0.5000 0.5000
0.0000 0.0000 0.0000
0.0000 0.5000 0.6560
0.5000 0.0000 0.3440
0.5000 0.5000 0.0000
```

The uncorrected formation energy is -1033.2 kJ/mol of formula units. The density comes out at 11.03 g/cm3.

=====

(3)
DFT (GGA-PBE) results for an optimized crystal structure of HfPdNF2.

```
HfPdNF2
1.0
4.0747 0.0000 0.0000
0.0000 4.0747 0.0000
0.0000 0.0000 4.2702
Hf Pd N F
1 1 1 2
Direct
0.0000 0.0000 0.0000
0.5000 0.5000 0.5000
0.0000 0.0000 0.5000
0.0000 0.5000 0.0000
0.5000 0.0000 0.0000
```

The uncorrected formation energy is -717.1 kJ/mol of formula units. The density comes out at 7.89 g/cm3.

=====

(4)
DFT (GGA-PBE) results for an optimized crystal structure of Cu2PS3.

```
Cu2PS3
1.0
4.0325 0.0000 0.0000
0.0000 10.7722 0.0000
0.0000 0.0000 4.9168
Cu P S
4 2 6
Direct
0.0000 0.1629 0.0000
0.0000 0.8371 0.0000
0.5000 0.3371 0.5000
0.5000 0.6629 0.5000
0.0000 0.5000 0.9900
0.5000 0.0000 0.4900
0.0000 0.0000 0.6933
0.0000 0.3417 0.7384
0.0000 0.6583 0.7384
0.5000 0.1583 0.2384
0.5000 0.5000 0.1933
0.5000 0.8417 0.2384
```

The uncorrected formation energy is -112.1 kJ/mol of formula units. The density comes out at 3.95 g/cm3.

=====

(5)
DFT (GGA-PBE) results for an optimized crystal structure of KCd2Si2.

```
KCd2Si2
1.0
4.6473 0.0000 0.0000
0.0000 4.6473 0.0000
0.0000 0.0000 10.8562
K Cd Si
2 4 4
Direct
0.0000 0.0000 0.0000
0.5000 0.5000 0.5000
0.0000 0.5000 0.2500
0.0000 0.5000 0.7500
0.5000 0.0000 0.2500
0.5000 0.0000 0.7500
0.0000 0.0000 0.3916
0.0000 0.0000 0.6084
0.5000 0.5000 0.1084
0.5000 0.5000 0.8916
```

The uncorrected formation energy is 15.2 kJ/mol of formula units. The density comes out at 4.53 g/cm3.

=====

(6)
DFT (GGA-PBE) results for an optimized crystal structure of LuZrTcPt.

```
LuZrTcPt
1.0
6.6888 0.0000 0.0000
0.0000 6.6888 0.0000
0.0000 0.0000 6.6888
Lu Zr Tc Pt
4 4 4 4
Direct
0.0000 0.0000 0.0000
0.0000 0.5000 0.5000
0.5000 0.0000 0.5000
0.5000 0.5000 0.0000
0.0000 0.0000 0.5000
0.0000 0.5000 0.0000
0.5000 0.0000 0.0000
0.5000 0.5000 0.5000
0.2500 0.2500 0.2500
0.2500 0.7500 0.7500
0.7500 0.2500 0.7500
0.7500 0.7500 0.2500
0.2500 0.2500 0.7500
0.2500 0.7500 0.2500
0.7500 0.2500 0.2500
0.7500 0.7500 0.7500
```

The calculation puts the calculated formation energy at -0.712 eV/atom. The density comes out at 12.41 g/cm3.

=====

(7)
DFT (GGA-PBE) results for an optimized crystal structure of Pu2CrRu.

```
Pu2CrRu
1.0
3.4494 0.0000 0.0000
0.0000 3.4494 0.0000
0.0000 0.0000 6.4652
Pu Cr Ru
2 1 1
Direct
0.0000 0.0000 0.2471
0.0000 0.0000 0.7529
0.5000 0.5000 0.5000
0.5000 0.5000 0.0000
```

The calculation puts the calculated formation energy at 0.114 eV/atom. The density comes out at 13.84 g/cm3.

=====

(8)
DFT (GGA-PBE) results for an optimized crystal structure of PmPrDy.

```
PmPrDy
1.0
3.6421 0.0000 0.0000
0.0000 3.6421 0.0000
0.0000 0.0000 15.4135
Pm Pr Dy
2 2 2
Direct
0.0000 0.0000 0.0000
0.5000 0.5000 0.5000
0.0000 0.0000 0.3296
0.5000 0.5000 0.8296
0.0000 0.0000 0.6635
0.5000 0.5000 0.1635
```

The calculation puts the calculated formation energy at 0.021 eV/atom. The density comes out at 7.28 g/cm3.

=====

(9)
DFT (GGA-PBE) results for an optimized crystal structure of TaCoSe2.

```
TaCoSe2
1.0
8.6098 0.0000 0.0000
0.0000 3.2800 0.0000
-0.3448 0.0000 5.0539
Ta Co Se
2 2 4
Direct
0.0000 0.0000 0.0000
0.5000 0.5000 0.0000
0.0000 0.5000 0.5000
0.5000 0.0000 0.5000
0.2001 0.5000 0.2326
0.2999 0.0000 0.7674
0.7001 0.0000 0.2326
0.7999 0.5000 0.7674
```

The uncorrected formation energy is 1.2 kJ/mol of formula units. The density comes out at 9.26 g/cm3.

=====

(10)
DFT (GGA-PBE) results for an optimized crystal structure of Sm4Ni3Rh.

```
Sm4Ni3Rh
1.0
3.8260 0.0000 0.0000
0.0000 4.2702 0.0000
0.0000 0.0000 10.5743
Sm Ni Rh
4 3 1
Direct
0.0000 0.0000 0.0000
0.0000 0.5000 0.2756
0.5000 0.0000 0.4983
0.5000 0.5000 0.7780
0.0000 0.5000 0.5573
0.5000 0.0000 0.2080
0.5000 0.5000 0.0695
0.0000 0.0000 0.7192
```

The calculation puts the calculated formation energy at -0.465 eV/atom. The density comes out at 8.46 g/cm3.

=====

(11)
DFT (GGA-PBE) results for an optimized crystal structure of AcCuHg2.

```
AcCuHg2
1.0
4.5387 0.0000 0.0000
0.0000 10.8105 0.0000
0.0000 0.0000 8.0292
Ac Cu Hg
4 4 8
Direct
0.0000 0.0680 0.2500
0.0000 0.9320 0.7500
0.5000 0.4320 0.7500
0.5000 0.5680 0.2500
0.0000 0.2235 0.7500
0.0000 0.7765 0.2500
0.5000 0.2765 0.2500
0.5000 0.7235 0.7500
0.0000 0.3554 0.0540
0.0000 0.3554 0.4460
0.0000 0.6446 0.5540
0.0000 0.6446 0.9460
0.5000 0.1446 0.5540
0.5000 0.1446 0.9460
0.5000 0.8554 0.0540
0.5000 0.8554 0.4460
```

The calculation puts the calculated formation energy at -0.314 eV/atom. The density comes out at 11.66 g/cm3.

=====

(12)
DFT (GGA-PBE) results for an optimized crystal structure of BaAc3In4.

```
BaAc3In4
1.0
11.7791 0.0000 0.0000
0.0000 8.2129 0.0000
0.0000 0.0000 5.8899
Ba Ac In
2 6 8
Direct
0.0000 0.0000 0.0000
0.5000 0.0000 0.0000
0.0000 0.5000 0.0000
0.2500 0.0000 0.4989
0.2500 0.5000 0.4989
0.5000 0.5000 0.0000
0.7500 0.0000 0.5011
0.7500 0.5000 0.5011
0.0000 0.2584 0.5000
0.0000 0.7416 0.5000
0.2500 0.2583 0.9985
0.2500 0.7417 0.9985
0.5000 0.2584 0.5000
0.5000 0.7416 0.5000
0.7500 0.2583 0.0015
0.7500 0.7417 0.0015
```

The calculation puts the calculated formation energy at -0.399 eV/atom. The density comes out at 7.45 g/cm3.